No. 1
# Tb3PmPr4 (PBE, optimized geometry)
data_Tb3PmPr4
_chemical_formula_sum 'Tb6 Pm2 Pr8'
_symmetry_space_group_name_H-M 'P 1'
_symmetry_Int_Tables_number 1
_cell_length_a 11.802
_cell_length_b 7.377
_cell_length_c 6.370
_cell_angle_alpha 90.00
_cell_angle_beta 90.00
_cell_angle_gamma 90.00
loop_
_symmetry_equiv_pos_as_xyz
'x,y,z'
loop_
_atom_site_label
_atom_site_type_symbol
_atom_site_fract_x
_atom_site_fract_y
_atom_site_fract_z
Tb1 Tb 0.000 0.121 0.000
Tb2 Tb 0.250 0.121 0.332
Tb3 Tb 0.250 0.879 0.832
Tb4 Tb 0.500 0.879 0.500
Tb5 Tb 0.750 0.121 0.332
Tb6 Tb 0.750 0.879 0.832
Pm1 Pm 0.000 0.877 0.502
Pm2 Pm 0.500 0.123 0.002
Pr1 Pr 0.000 0.371 0.496
Pr2 Pr 0.000 0.629 0.002
Pr3 Pr 0.248 0.373 0.835
Pr4 Pr 0.252 0.627 0.335
Pr5 Pr 0.500 0.371 0.502
Pr6 Pr 0.500 0.629 0.996
Pr7 Pr 0.748 0.627 0.335
Pr8 Pr 0.752 0.373 0.835
# E_form: 0.0319 eV/atom
# Volume: 34.66 Å³/atom
# Distance to the lowest polymorph of the same formula: 15.4 meV/atom



No. 2
# K2HgBi (PBE, optimized geometry)
data_K2HgBi
_chemical_formula_sum 'K4 Hg2 Bi2'
_symmetry_space_group_name_H-M 'P 1'
_symmetry_Int_Tables_number 1
_cell_length_a 6.704
_cell_length_b 3.876
_cell_length_c 11.707
_cell_angle_alpha 90.00
_cell_angle_beta 101.06
_cell_angle_gamma 90.00
loop_
_symmetry_equiv_pos_as_xyz
'x,y,z'
loop_
_atom_site_label
_atom_site_type_symbol
_atom_site_fract_x
_atom_site_fract_y
_atom_site_fract_z
K1 K 0.000 0.000 0.000
K2 K 0.166 0.000 0.499
K3 K 0.500 0.500 0.000
K4 K 0.666 0.500 0.499
Hg1 Hg 0.083 0.500 0.750
Hg2 Hg 0.583 0.000 0.750
Bi1 Bi 0.417 0.000 0.250
Bi2 Bi 0.917 0.500 0.250
# E_form: -0.1393 eV/atom
# Volume: 37.32 Å³/atom
# Distance to the lowest polymorph of the same formula: 143.3 meV/atom